This record from Alexandria via LeMat-Bulk describes Ti12Ga6B after structural relaxation. The functional is PBE.

Cell and atoms, written as CIF:
```
data_Ti12Ga6B
_space_group_name_H-M_alt 'R -3'
_space_group_IT_number 148
_space_group_name_Hall '-R 3'
_cell_length_a 9.4771
_cell_length_b 9.4771
_cell_length_c 11.5625
_cell_angle_alpha 90.00
_cell_angle_beta 90.00
_cell_angle_gamma 120.00
loop_
_atom_site_label
_atom_site_type_symbol
_atom_site_fract_x
_atom_site_fract_y
_atom_site_fract_z
_atom_site_occupancy
Ti1 Ti 0.0469 0.1817 0.3150 1
Ti2 Ti 0.0651 0.8484 0.9116 1
Ga1 Ga 0.0316 0.4405 0.2107 1
B1 B 0.0000 0.0000 0.5000 1
```

Values from the calculation:
Magnetic moment in μB per formula unit: 0.0
Electronic total energy in eV/atom: -6.50
Fermi-level density of states in states/eV per atom: 1.08
Energy of formation in eV/f.u.: -3.9